1.
# Sm4Dy2HoEr

An optimized crystal structure of Sm4Dy2HoEr (PBE, the Alexandria database).

Summary:
total magnetization: 0.0 μB per cell
symmetry: No. 10
calculated formation energy: 0.017 eV per atom
DOS(E_F): 10.73 states/eV per cell
E_tot: -37.1 eV/cell

a b c (Å): 6.198 3.583 11.826
angles (deg): 90.00 100.17 90.00
Fractional positions:
Sm  0.249  0.000  0.250
Sm  0.251  0.500  0.750
Sm  0.749  0.500  0.250
Sm  0.751  0.000  0.750
Dy  0.000  0.000  0.500
Dy  0.000  0.500  0.000
Ho  0.500  0.500  0.500
Er  0.500  0.000  0.000

=====

2.
# HoVC

An optimized crystal structure of HoVC (PBE, the Alexandria database).

Summary:
total magnetization: 2.0 μB per cell
symmetry: No. 187
calculated formation energy: 0.098 eV per atom
DOS(E_F): 1.29 states/eV per cell
E_tot: -22.6 eV/cell

a b c (Å): 3.568 3.568 4.259
angles (deg): 90.00 90.00 120.00
Fractional positions:
Ho  0.000  0.000  0.000
V  0.333  0.667  0.500
C  0.667  0.333  0.500

=====

3.
# HfTiBr2

An optimized crystal structure of HfTiBr2 (PBE, the Alexandria database).

Summary:
total magnetization: 4.6 μB per cell
symmetry: No. 122
energy relative to the elements, uncorrected: 0.87 eV per formula unit
DOS(E_F): 19.67 states/eV per cell
E_tot: -81.3 eV/cell

a b c (Å): 7.303 7.303 6.509
angles (deg): 90.00 90.00 90.00
Fractional positions:
Hf  0.000  0.000  0.000
Hf  0.000  0.500  0.250
Hf  0.500  0.000  0.750
Hf  0.500  0.500  0.500
Ti  0.000  0.000  0.500
Ti  0.000  0.500  0.750
Ti  0.500  0.000  0.250
Ti  0.500  0.500  0.000
Br  0.233  0.250  0.625
Br  0.250  0.733  0.875
Br  0.250  0.767  0.375
Br  0.267  0.250  0.125
Br  0.733  0.750  0.125
Br  0.750  0.233  0.375
Br  0.750  0.267  0.875
Br  0.767  0.750  0.625

=====

4.
# HfFeMoBr2

An optimized crystal structure of HfFeMoBr2 (PBE, the Alexandria database).

Summary:
total magnetization: 0.0 μB per cell
symmetry: No. 123
energy relative to the elements, uncorrected: 6.03 eV per formula unit
DOS(E_F): 7.68 states/eV per cell
E_tot: -26.6 eV/cell

a b c (Å): 4.926 4.926 4.496
angles (deg): 90.00 90.00 90.00
Fractional positions:
Hf  0.000  0.000  0.000
Fe  0.500  0.500  0.000
Mo  0.500  0.500  0.500
Br  0.000  0.500  0.500
Br  0.500  0.000  0.500

=====

5.
# Ca2LaTe

An optimized crystal structure of Ca2LaTe (PBE, the Alexandria database).

Summary:
total magnetization: 0.0 μB per cell
symmetry: No. 216
energy relative to the elements, uncorrected: -1.33 eV per formula unit
DOS(E_F): 17.30 states/eV per cell
E_tot: -53.6 eV/cell

a b c (Å): 8.099 8.099 8.099
angles (deg): 90.00 90.00 90.00
Fractional positions:
Ca  0.000  0.000  0.000
Ca  0.000  0.500  0.500
Ca  0.250  0.250  0.250
Ca  0.250  0.750  0.750
Ca  0.500  0.000  0.500
Ca  0.500  0.500  0.000
Ca  0.750  0.250  0.750
Ca  0.750  0.750  0.250
La  0.000  0.000  0.500
La  0.000  0.500  0.000
La  0.500  0.000  0.000
La  0.500  0.500  0.500
Te  0.250  0.250  0.750
Te  0.250  0.750  0.250
Te  0.750  0.250  0.250
Te  0.750  0.750  0.750

=====

6.
# MgMn2I

An optimized crystal structure of MgMn2I (PBE, the Alexandria database).

Summary:
total magnetization: 3.7 μB per cell
symmetry: No. 225
energy relative to the elements, uncorrected: 3.80 eV per formula unit
DOS(E_F): 15.21 states/eV per cell
E_tot: -70.7 eV/cell

a b c (Å): 6.182 6.182 6.182
angles (deg): 90.00 90.00 90.00
Fractional positions:
Mg  0.000  0.000  0.000
Mg  0.000  0.500  0.500
Mg  0.500  0.000  0.500
Mg  0.500  0.500  0.000
Mn  0.250  0.250  0.250
Mn  0.250  0.250  0.750
Mn  0.250  0.750  0.250
Mn  0.250  0.750  0.750
Mn  0.750  0.250  0.250
Mn  0.750  0.250  0.750
Mn  0.750  0.750  0.250
Mn  0.750  0.750  0.750
I  0.000  0.000  0.500
I  0.000  0.500  0.000
I  0.500  0.000  0.000
I  0.500  0.500  0.500

=====

7.
# BaAg2W

An optimized crystal structure of BaAg2W (PBE, the Alexandria database).

Summary:
total magnetization: 14.6 μB per cell
symmetry: No. 225
calculated formation energy: 1.012 eV per atom
DOS(E_F): 7.39 states/eV per cell
E_tot: -66.1 eV/cell

a b c (Å): 7.392 7.392 7.392
angles (deg): 90.00 90.00 90.00
Fractional positions:
Ba  0.000  0.000  0.000
Ba  0.000  0.500  0.500
Ba  0.500  0.000  0.500
Ba  0.500  0.500  0.000
Ag  0.250  0.250  0.250
Ag  0.250  0.250  0.750
Ag  0.250  0.750  0.250
Ag  0.250  0.750  0.750
Ag  0.750  0.250  0.250
Ag  0.750  0.250  0.750
Ag  0.750  0.750  0.250
Ag  0.750  0.750  0.750
W  0.000  0.000  0.500
W  0.000  0.500  0.000
W  0.500  0.000  0.000
W  0.500  0.500  0.500

=====

8.
# Ho4PaP5

An optimized crystal structure of Ho4PaP5 (PBE, the Alexandria database).

Summary:
total magnetization: 0.0 μB per cell
symmetry: No. 87
calculated formation energy: -1.566 eV per atom
DOS(E_F): 4.40 states/eV per cell
E_tot: -70.5 eV/cell

a b c (Å): 6.887 6.887 6.887
angles (deg): 99.61 99.61 131.78
Fractional positions:
Ho  0.099  0.302  0.401
Ho  0.302  0.901  0.203
Ho  0.698  0.099  0.797
Ho  0.901  0.698  0.599
Pa  0.500  0.500  0.000
P  0.000  0.000  0.000
P  0.204  0.598  0.802
P  0.402  0.204  0.606
P  0.598  0.796  0.394
P  0.796  0.402  0.198

=====

Repeat the seventh record exactly.
# BaAg2W

An optimized crystal structure of BaAg2W (PBE, the Alexandria database).

Summary:
total magnetization: 14.6 μB per cell
symmetry: No. 225
calculated formation energy: 1.012 eV per atom
DOS(E_F): 7.39 states/eV per cell
E_tot: -66.1 eV/cell

a b c (Å): 7.392 7.392 7.392
angles (deg): 90.00 90.00 90.00
Fractional positions:
Ba  0.000  0.000  0.000
Ba  0.000  0.500  0.500
Ba  0.500  0.000  0.500
Ba  0.500  0.500  0.000
Ag  0.250  0.250  0.250
Ag  0.250  0.250  0.750
Ag  0.250  0.750  0.250
Ag  0.250  0.750  0.750
Ag  0.750  0.250  0.250
Ag  0.750  0.250  0.750
Ag  0.750  0.750  0.250
Ag  0.750  0.750  0.750
W  0.000  0.000  0.500
W  0.000  0.500  0.000
W  0.500  0.000  0.000
W  0.500  0.500  0.500

=====

Q: Among the records above, which one has the lowest E_tot?
A: HfTiBr2

=====

Q: total magnetization of number 5 (Ca2LaTe)?
A: 0.0 μB per cell

=====

Q: Number 3 is which compound?
A: HfTiBr2